Model one:
The following is a GGA-PBE calculation of an optimized crystal structure of SrRe2Ag, from Alexandria via LeMat-Bulk.

Values from the calculation:
* crystal system: orthorhombic
* total moment: 0.0 μB per formula unit

Cell: 5.426 5.426 5.426 Å, 138.86 123.37 72.35°
Atoms (fractional coordinates):
Sr: 0.485 0.485 0.000
Re: 0.206 0.706 0.500
Ag: 0.768 0.268 0.500
Re: 0.040 0.040 0.000


Model two:
The following is a GGA-PBE calculation of an optimized crystal structure of SrRe2Ag, from Alexandria via LeMat-Bulk.

Values from the calculation:
* crystal system: orthorhombic
* total moment: 0.0 μB per formula unit

Cell: 2.682 4.736 6.505 Å, 90.00 90.00 90.00°
Atoms (fractional coordinates):
Ag: 0.500 0.500 0.750
Re: 0.000 0.000 0.933
Sr: 0.500 0.500 0.250
Re: 0.000 0.000 0.567


Model three:
The following is a GGA-PBE calculation of an optimized crystal structure of SrRe2Ag, from Alexandria via LeMat-Bulk.

Values from the calculation:
* crystal system: monoclinic
* total moment: 0.0 μB per formula unit

Cell: 5.357 2.787 5.182 Å, 84.57 90.00 90.00°
Atoms (fractional coordinates):
Re: 0.000 0.598 0.487
Ag: 0.500 0.750 0.750
Re: 0.000 0.902 0.013
Sr: 0.500 0.250 0.250


Model four:
The following is a GGA-PBE calculation of an optimized crystal structure of SrRe2Ag, from Alexandria via LeMat-Bulk.

Values from the calculation:
* crystal system: orthorhombic
* total moment: 0.0 μB per formula unit

Cell: 5.825 5.825 2.660 Å, 90.00 90.00 122.81°
Atoms (fractional coordinates):
Sr: 0.500 0.000 0.500
Ag: 0.000 0.500 0.500
Re: 0.500 0.500 0.000
Re: 0.000 0.000 0.000


Stability check: which of them is least stable? model four.


Model one:
The following is a GGA-PBE calculation of an optimized crystal structure of SrRe2Ag, from Alexandria via LeMat-Bulk.

Values from the calculation:
* crystal system: tetragonal
* total moment: 0.0 μB per formula unit

Cell: 5.868 5.868 5.868 Å, 141.13 141.13 56.14°
Atoms (fractional coordinates):
Re: 0.500 0.500 0.000
Re: 0.000 0.000 0.000
Sr: 0.250 0.750 0.500
Ag: 0.750 0.250 0.500


Model two:
The following is a GGA-PBE calculation of an optimized crystal structure of SrRe2Ag, from Alexandria via LeMat-Bulk.

Values from the calculation:
* crystal system: cubic
* total moment: 2.0 μB per formula unit

Cell: 4.754 4.754 4.754 Å, 60.00 60.00 60.00°
Site moments in Bohr magnetons follow the coordinates.
Atoms (fractional coordinates):
Re: 0.750 0.750 0.750  0.80
Re: 0.250 0.250 0.250  0.80
Ag: 0.000 0.000 0.000  0.06
Sr: 0.500 0.500 0.500  0.07


Model three:
The following is a GGA-PBE calculation of an optimized crystal structure of SrRe2Ag, from Alexandria via LeMat-Bulk.

Values from the calculation:
* crystal system: monoclinic
* total moment: 0.0 μB per formula unit

Cell: 4.427 4.427 6.977 Å, 82.18 82.18 41.67°
Atoms (fractional coordinates):
Re: 0.729 0.729 0.839
Re: 0.004 0.004 0.954
Ag: 0.267 0.267 0.191
Sr: 0.500 0.500 0.516


Stability check: which of them is least stable? model two.


Model one:
The following is a GGA-PBE calculation of an optimized crystal structure of SrRe2Ag, from Alexandria via LeMat-Bulk.

Values from the calculation:
* crystal system: orthorhombic
* total moment: 0.0 μB per formula unit

Cell: 3.156 4.584 5.271 Å, 90.00 90.00 90.00°
Atoms (fractional coordinates):
Sr: 0.500 0.000 0.500
Re: 0.000 0.000 0.000
Re: 0.500 0.500 0.000
Ag: 0.000 0.500 0.500


Model two:
The following is a GGA-PBE calculation of an optimized crystal structure of SrRe2Ag, from Alexandria via LeMat-Bulk.

Values from the calculation:
* crystal system: cubic
* total moment: 0.0 μB per formula unit

Cell: 4.736 4.736 4.736 Å, 120.02 120.02 89.97°
Atoms (fractional coordinates):
Sr: 0.500 0.500 0.000
Ag: 0.750 0.250 0.500
Re: 0.250 0.750 0.500
Re: 0.000 0.000 0.000


Stability check: which of them is least stable? model two.


Model one:
The following is a GGA-PBE calculation of an optimized crystal structure of Sr2ReAg, from Alexandria via LeMat-Bulk.

Values from the calculation:
* crystal system: monoclinic
* total moment: 0.0 μB per formula unit

Cell: 6.181 6.181 5.761 Å, 74.53 74.53 29.12°
Atoms (fractional coordinates):
Ag: 0.540 0.540 0.524
Sr: 0.775 0.775 0.689
Sr: 0.968 0.968 0.074
Re: 0.217 0.217 0.214


Model two:
The following is a GGA-PBE calculation of an optimized crystal structure of Sr2ReAg, from Alexandria via LeMat-Bulk.

Values from the calculation:
* crystal system: tetragonal
* total moment: 1.7 μB per formula unit

Cell: 3.625 3.625 8.997 Å, 90.00 90.00 90.01°
Site moments in Bohr magnetons follow the coordinates.
Atoms (fractional coordinates):
Sr: 0.000 0.000 0.920  0.02
Sr: 0.500 0.500 0.331  0.05
Re: 0.500 0.500 0.683  1.09
Ag: 0.000 0.000 0.566  0.07


Model three:
The following is a GGA-PBE calculation of an optimized crystal structure of Sr2ReAg, from Alexandria via LeMat-Bulk.

Values from the calculation:
* crystal system: orthorhombic
* total moment: 0.0 μB per formula unit

Cell: 6.758 6.758 6.758 Å, 152.32 131.76 56.53°
Atoms (fractional coordinates):
Ag: 0.463 0.463 0.000
Re: 0.276 0.776 0.500
Sr: 0.728 0.228 0.500
Sr: 0.033 0.033 0.000


Stability check: which of them is least stable? model two.


Model one:
The following is a GGA-PBE calculation of an optimized crystal structure of Ta2ReAg, from Alexandria via LeMat-Bulk.

Values from the calculation:
* crystal system: trigonal
* total moment: 0.0 μB per formula unit

Cell: 10.201 10.201 10.201 Å, 15.88 15.88 15.88°
Atoms (fractional coordinates):
Re: 0.750 0.750 0.750
Ta: 0.249 0.249 0.249
Ag: 0.498 0.498 0.498
Ta: 0.003 0.003 0.003


Model two:
The following is a GGA-PBE calculation of an optimized crystal structure of Ta2ReAg, from Alexandria via LeMat-Bulk.

Values from the calculation:
* crystal system: tetragonal
* total moment: 0.0 μB per formula unit

Cell: 3.202 3.202 6.756 Å, 90.00 90.00 90.00°
Atoms (fractional coordinates):
Ta: 0.000 0.000 0.980
Re: 0.500 0.500 0.750
Ag: 0.500 0.500 0.250
Ta: 0.000 0.000 0.520


Model three:
The following is a GGA-PBE calculation of an optimized crystal structure of Ta2ReAg, from Alexandria via LeMat-Bulk.

Values from the calculation:
* crystal system: cubic
* total moment: 0.0 μB per formula unit

Cell: 4.597 4.597 4.597 Å, 60.00 60.00 60.00°
Atoms (fractional coordinates):
Re: 0.500 0.500 0.500
Ta: 0.750 0.750 0.750
Ag: 0.000 0.000 0.000
Ta: 0.250 0.250 0.250


Model four:
The following is a GGA-PBE calculation of an optimized crystal structure of Ta2ReAg, from Alexandria via LeMat-Bulk.

Values from the calculation:
* crystal system: orthorhombic
* total moment: 0.0 μB per formula unit

Cell: 2.703 4.445 5.749 Å, 90.00 90.00 90.00°
Atoms (fractional coordinates):
Re: 0.500 0.500 0.763
Ta: 0.500 0.500 0.256
Ag: 0.000 0.000 0.496
Ta: 0.000 0.000 0.984


Stability check: which of them is least stable? model one.


Model one:
The following is a GGA-PBE calculation of an optimized crystal structure of Ta3ReAg, from Alexandria via LeMat-Bulk.

Values from the calculation:
* crystal system: cubic
* total moment: 0.0 μB per formula unit

Cell: 4.851 4.851 4.851 Å, 90.00 90.00 90.00°
Atoms (fractional coordinates):
Ag: 0.500 0.500 0.500
Ta: 0.500 0.000 0.000
Ta: 0.000 0.000 0.500
Re: 0.000 0.000 0.000
Ta: 0.000 0.500 0.000


Model two:
The following is a GGA-PBE calculation of an optimized crystal structure of Ta3ReAg, from Alexandria via LeMat-Bulk.

Values from the calculation:
* crystal system: cubic
* total moment: 0.0 μB per formula unit

Cell: 4.783 4.783 4.783 Å, 90.00 90.00 90.00°
Atoms (fractional coordinates):
Re: 0.500 0.500 0.500
Ag: 0.000 0.000 0.000
Ta: 0.000 0.500 0.000
Ta: 0.000 0.000 0.500
Ta: 0.500 0.000 0.000


Stability check: which of them is least stable? model two.